1.
Below is a geometry-optimized NaB4Pt structure, with properties calculated at the PBE level.

Output
The calculation puts the total energy at -5.438 eV/atom. As for the crystal system: hexagonal. For the spin magnetization, the calculation gives 0.001 μB/atom. As for the energy above the most stable polymorph in this dataset: 8.2 meV per atom.

Lattice parameters (Å, degrees): 3.071 3.071 7.604 90.00 90.00 120.00
Atoms (fractional coordinates):
Na  0.000  0.000  0.000
B  0.333  0.667  0.277
B  0.333  0.667  0.723
B  0.667  0.333  0.277
B  0.667  0.333  0.723
Pt  0.000  0.000  0.500

2.
Below is a geometry-optimized LuMgCuS3 structure, with properties calculated at the PBE level.

Output
The calculation puts the total energy at -4.991 eV/atom. As for the crystal system: monoclinic. For the spin magnetization, the calculation gives 0.000 μB/atom. As for the energy above the most stable polymorph in this dataset: 0.0 meV per atom.

Lattice parameters (Å, degrees): 7.247 3.667 8.728 90.00 100.97 90.00
Atoms (fractional coordinates):
Lu  0.185  0.250  0.171
Lu  0.815  0.750  0.829
Mg  0.284  0.750  0.720
Mg  0.716  0.250  0.280
Cu  0.409  0.750  0.419
Cu  0.591  0.250  0.581
S  0.090  0.250  0.849
S  0.237  0.250  0.484
S  0.443  0.750  0.163
S  0.557  0.250  0.837
S  0.763  0.750  0.516
S  0.910  0.750  0.151

3.
Below is a geometry-optimized Sc2AlGaPt4 structure, with properties calculated at the PBE level.

Output
The calculation puts the total energy at -6.543 eV/atom. As for the crystal system: orthorhombic. For the spin magnetization, the calculation gives 0.005 μB/atom. As for the energy above the most stable polymorph in this dataset: 13.1 meV per atom.

Lattice parameters (Å, degrees): 7.232 5.633 5.633 35.91 90.00 90.00
Atoms (fractional coordinates):
Sc  0.000  0.000  0.000
Sc  0.500  0.068  0.068
Al  0.000  0.275  0.275
Ga  0.500  0.792  0.792
Pt  0.201  0.664  0.664
Pt  0.294  0.407  0.407
Pt  0.706  0.407  0.407
Pt  0.799  0.664  0.664

4.
Below is a geometry-optimized SmPIrO structure, with properties calculated at the PBE level.

Output
The calculation puts the total energy at -7.419 eV/atom. As for the crystal system: orthorhombic. For the spin magnetization, the calculation gives 0.001 μB/atom. As for the energy above the most stable polymorph in this dataset: 510.6 meV per atom.

Lattice parameters (Å, degrees): 4.556 4.090 6.936 90.00 90.00 90.00
Atoms (fractional coordinates):
Sm  0.000  0.243  0.000
Sm  0.000  0.757  0.500
P  0.500  0.241  0.672
P  0.500  0.759  0.172
Ir  0.500  0.259  0.336
Ir  0.500  0.741  0.836
O  0.000  0.259  0.335
O  0.000  0.741  0.835